(1)
# KAgSn2 (PBE, relaxed)
# - uncorrected energy (eV per cell) = -12.20
data_KAgSn2
_symmetry_space_group_name_H-M 'P 4/m m m'
_symmetry_Int_Tables_number 123
_symmetry_space_group_name_Hall '-P 4 2'
_cell_length_a 3.769
_cell_length_b 3.769
_cell_length_c 8.101
_cell_angle_alpha 90.00
_cell_angle_beta 90.00
_cell_angle_gamma 90.00
loop_
_atom_site_label
_atom_site_fract_x
_atom_site_fract_y
_atom_site_fract_z
K1 0.000 0.000 0.000
Ag1 0.000 0.000 0.500
Sn1 0.500 0.500 0.318

=====

(2)
# AlCuRe (PBE, relaxed)
# - energy above the lowest structure with this stoichiometry (eV per atom) = 0.197
data_AlCuRe
_symmetry_space_group_name_H-M 'I m m 2'
_symmetry_Int_Tables_number 44
_symmetry_space_group_name_Hall 'I 2 -2'
_cell_length_a 2.717
_cell_length_b 3.316
_cell_length_c 9.105
_cell_angle_alpha 90.00
_cell_angle_beta 90.00
_cell_angle_gamma 90.00
loop_
_atom_site_label
_atom_site_fract_x
_atom_site_fract_y
_atom_site_fract_z
Al1 0.000 0.000 0.000
Cu1 0.000 0.000 0.650
Re1 0.000 0.000 0.325

=====

(3)
# La6RuPb3 (PBE, relaxed)
# - uncorrected energy (eV per cell) = -108.77
data_La6RuPb3
_symmetry_space_group_name_H-M 'P 1 21/c 1'
_symmetry_Int_Tables_number 14
_symmetry_space_group_name_Hall '-P 2ybc'
_cell_length_a 6.176
_cell_length_b 9.211
_cell_length_c 12.927
_cell_angle_alpha 90.00
_cell_angle_beta 116.46
_cell_angle_gamma 90.00
loop_
_atom_site_label
_atom_site_fract_x
_atom_site_fract_y
_atom_site_fract_z
La1 0.031 0.150 0.439
La2 0.374 0.030 0.272
La3 0.379 0.692 0.447
Ru1 0.500 0.000 0.500
Pb1 0.000 0.000 0.000
Pb2 0.170 0.128 0.759

=====

(4)
# Tb2Er3ScBi6 (PBE, relaxed)
# - uncorrected energy (eV per cell) = -124.40
data_Tb2Er3ScBi6
_symmetry_space_group_name_H-M 'C 1 2/m 1'
_symmetry_Int_Tables_number 12
_symmetry_space_group_name_Hall '-C 2y'
_cell_length_a 19.322
_cell_length_b 4.436
_cell_length_c 8.872
_cell_angle_alpha 90.00
_cell_angle_beta 103.23
_cell_angle_gamma 90.00
loop_
_atom_site_label
_atom_site_fract_x
_atom_site_fract_y
_atom_site_fract_z
Tb1 0.166 0.000 0.332
Er1 0.000 0.500 0.500
Er2 0.169 0.000 0.834
Sc1 0.000 0.500 0.000
Bi1 0.002 0.000 0.759
Bi2 0.163 0.500 0.079
Bi3 0.166 0.500 0.585

=====

(5)
# Pm2Tl3Pd4 (PBE, relaxed)
# - uncorrected energy (eV per cell) = -166.70
data_Pm2Tl3Pd4
_symmetry_space_group_name_H-M 'C m c e'
_symmetry_Int_Tables_number 64
_symmetry_space_group_name_Hall '-C 2ac 2'
_cell_length_a 6.102
_cell_length_b 17.645
_cell_length_c 7.453
_cell_angle_alpha 90.00
_cell_angle_beta 90.00
_cell_angle_gamma 90.00
loop_
_atom_site_label
_atom_site_fract_x
_atom_site_fract_y
_atom_site_fract_z
Pm1 0.000 0.103 0.086
Tl1 0.000 0.000 0.500
Tl2 0.250 0.238 0.750
Pd1 0.000 0.158 0.473
Pd2 0.250 0.075 0.750

=====

(6)
# CaTlSe (PBE, relaxed)
# - energy above the lowest structure with this stoichiometry (eV per atom) = 0.067
data_CaTlSe
_symmetry_space_group_name_H-M 'I 4 m m'
_symmetry_Int_Tables_number 107
_symmetry_space_group_name_Hall 'I 4 -2'
_cell_length_a 3.994
_cell_length_b 3.994
_cell_length_c 12.518
_cell_angle_alpha 90.00
_cell_angle_beta 90.00
_cell_angle_gamma 90.00
loop_
_atom_site_label
_atom_site_fract_x
_atom_site_fract_y
_atom_site_fract_z
Ca1 0.000 0.000 0.000
Tl1 0.000 0.000 0.287
Se1 0.000 0.000 0.530

=====

- Which formula does entry 6 have?
  CaTlSe

=====

Repeat the second record exactly.
# AlCuRe (PBE, relaxed)
# - energy above the lowest structure with this stoichiometry (eV per atom) = 0.197
data_AlCuRe
_symmetry_space_group_name_H-M 'I m m 2'
_symmetry_Int_Tables_number 44
_symmetry_space_group_name_Hall 'I 2 -2'
_cell_length_a 2.717
_cell_length_b 3.316
_cell_length_c 9.105
_cell_angle_alpha 90.00
_cell_angle_beta 90.00
_cell_angle_gamma 90.00
loop_
_atom_site_label
_atom_site_fract_x
_atom_site_fract_y
_atom_site_fract_z
Al1 0.000 0.000 0.000
Cu1 0.000 0.000 0.650
Re1 0.000 0.000 0.325